An optimized crystal structure of Rb3TlRu. Source: Alexandria, functional PBE.

The structure in POSCAR format:
```
Rb3TlRu
1.0
6.103 0.000 0.000
0.000 6.103 0.000
0.000 0.000 6.103
Rb Tl Ru
3 1 1
Cartesian
0.000 0.000 3.052 Rb
0.000 3.052 0.000 Rb
3.052 0.000 0.000 Rb
3.052 3.052 3.052 Tl
0.000 0.000 0.000 Ru
```

Computed properties:
The calculation puts the density of states at the Fermi level at 0.456 states/eV per atom. As for the space-group type: Pm-3m, No. 221. For the formation energy, the calculation gives 1009 meV/atom.